CdPd5Au4: optimized geometry, GGA-PBE.

```
10
Lattice="3.2596 0.0000 0.0000 0.0000 3.2596 0.0000 0.0000 0.0000 15.9231" Properties=species:S:1:pos:R:3 pbc="T T T"
Au 0.0000 0.0000 9.5424
Au 0.0000 0.0000 12.7004
Au 0.0000 0.0000 6.3807
Au 0.0000 0.0000 3.2227
Pd 1.6298 1.6298 4.7932
Pd 1.6298 1.6298 14.3156
Pd 1.6298 1.6298 7.9616
Pd 1.6298 1.6298 1.6075
Pd 1.6298 1.6298 11.1299
Cd 0.0000 0.0000 0.0000
```

For the energy above the most stable polymorph in this dataset, the calculation gives 0 meV per atom. As for the total DFT energy (no corrections): -41.4 eV/cell.